A geometry-optimized Rb2CeCd2Te4 structure. Source: Alexandria via LeMat-Bulk, functional GGA-PBE.

Calculated density (g/cm³): 5.08
Volume (Å³/atom): 37.991
Crystal system: monoclinic
ΔE_f (raw) (meV per atom): -853

The structure in CIF format:
```
data_Rb2CeCd2Te4
_chemical_formula_sum 'Rb4 Ce2 Cd4 Te8'
_space_group_name_H-M_alt 'C 1 2/m 1'
_space_group_IT_number 12
_space_group_name_Hall '-C 2y'
_cell_length_a 17.027
_cell_length_b 4.821
_cell_length_c 8.766
_cell_angle_alpha 90.00
_cell_angle_beta 108.15
_cell_angle_gamma 90.00
loop_
_atom_site_label
_atom_site_type_symbol
_atom_site_fract_x
_atom_site_fract_y
_atom_site_fract_z
Rb1 Rb 0.129 0.000 0.064
Ce1 Ce 0.000 0.000 0.500
Cd1 Cd 0.168 0.500 0.487
Te1 Te 0.006 0.500 0.251
Te2 Te 0.203 0.000 0.685
```



A geometry-optimized RbBi3Rh structure. Source: Alexandria via LeMat-Bulk, functional GGA-PBE.

Relative energy among the computed polymorphs (eV/atom): 2.173
Calculated density (g/cm³): 6.49
Volume (Å³/atom): 41.712
Crystal system: cubic
E_form (eV per atom): 1.911

The structure in CIF format:
```
data_RbBi3Rh
_chemical_formula_sum 'Rb1 Bi3 Rh1'
_space_group_name_H-M_alt 'P m -3 m'
_space_group_IT_number 221
_space_group_name_Hall '-P 4 2 3'
_cell_length_a 5.930
_cell_length_b 5.930
_cell_length_c 5.930
_cell_angle_alpha 90.00
_cell_angle_beta 90.00
_cell_angle_gamma 90.00
loop_
_atom_site_label
_atom_site_type_symbol
_atom_site_fract_x
_atom_site_fract_y
_atom_site_fract_z
Rb1 Rb 0.000 0.000 0.000
Bi1 Bi 0.000 0.000 0.500
Rh1 Rh 0.500 0.500 0.500
```



A geometry-optimized LaBeIr2 structure. Source: Alexandria via LeMat-Bulk, functional GGA-PBE.

Calculated density (g/cm³): 13.53
Volume (Å³/atom): 16.337
Crystal system: trigonal
E_form (eV per atom): 0.022

The structure in CIF format:
```
data_LaBeIr2
_chemical_formula_sum 'La3 Be3 Ir6'
_space_group_name_H-M_alt 'R -3 m'
_space_group_IT_number 166
_space_group_name_Hall '-R 3 2"'
_cell_length_a 3.0561
_cell_length_b 3.0561
_cell_length_c 24.2370
_cell_angle_alpha 90.00
_cell_angle_beta 90.00
_cell_angle_gamma 120.00
loop_
_atom_site_label
_atom_site_type_symbol
_atom_site_fract_x
_atom_site_fract_y
_atom_site_fract_z
La1 La 0.0000 0.0000 0.0000
Be1 Be 0.0000 0.0000 0.5000
Ir1 Ir 0.0000 0.0000 0.2279
```



A geometry-optimized AlSb2Pb structure. Source: Alexandria via LeMat-Bulk, functional GGA-PBE.

Relative energy among the computed polymorphs (eV/atom): 0.202
Calculated density (g/cm³): 7.35
Volume (Å³/atom): 26.983
Crystal system: tetragonal
ΔE_f (raw) (meV per atom): 246

The structure in CIF format:
```
data_AlSb2Pb
_chemical_formula_sum 'Al2 Sb4 Pb2'
_space_group_name_H-M_alt 'I -4 m 2'
_space_group_IT_number 119
_space_group_name_Hall 'I -4 -2'
_cell_length_a 4.581
_cell_length_b 4.581
_cell_length_c 10.288
_cell_angle_alpha 90.00
_cell_angle_beta 90.00
_cell_angle_gamma 90.00
loop_
_atom_site_label
_atom_site_type_symbol
_atom_site_fract_x
_atom_site_fract_y
_atom_site_fract_z
Al1 Al 0.000 0.000 0.000
Sb1 Sb 0.000 0.000 0.500
Sb2 Sb 0.000 0.500 0.250
Pb1 Pb 0.000 0.500 0.750
```



A geometry-optimized Mn2FeRh structure. Source: Alexandria via LeMat-Bulk, functional GGA-PBE.

Relative energy among the computed polymorphs (eV/atom): 0.158
Calculated density (g/cm³): 8.81
Volume (Å³/atom): 12.653
Crystal system: cubic
E_form (eV per atom): 0.099

The structure in CIF format:
```
data_Mn2FeRh
_chemical_formula_sum 'Mn8 Fe4 Rh4'
_space_group_name_H-M_alt 'F -4 3 m'
_space_group_IT_number 216
_space_group_name_Hall 'F -4 2 3'
_cell_length_a 5.872
_cell_length_b 5.872
_cell_length_c 5.872
_cell_angle_alpha 90.00
_cell_angle_beta 90.00
_cell_angle_gamma 90.00
loop_
_atom_site_label
_atom_site_type_symbol
_atom_site_fract_x
_atom_site_fract_y
_atom_site_fract_z
Mn1 Mn 0.000 0.000 0.000
Mn2 Mn 0.250 0.250 0.250
Fe1 Fe 0.250 0.250 0.750
Rh1 Rh 0.000 0.000 0.500
```



A geometry-optimized Ca2TmCdSe4 structure. Source: Alexandria via LeMat-Bulk, functional GGA-PBE.

Calculated density (g/cm³): 5.52
Volume (Å³/atom): 25.493
Crystal system: monoclinic
ΔE_f (raw) (meV per atom): -1530

The structure in CIF format:
```
data_Ca2TmCdSe4
_chemical_formula_sum 'Ca2 Tm1 Cd1 Se4'
_space_group_name_H-M_alt 'P 1 2/m 1'
_space_group_IT_number 10
_space_group_name_Hall '-P 2y'
_cell_length_a 7.053
_cell_length_b 4.133
_cell_length_c 7.428
_cell_angle_alpha 90.00
_cell_angle_beta 109.64
_cell_angle_gamma 90.00
loop_
_atom_site_label
_atom_site_type_symbol
_atom_site_fract_x
_atom_site_fract_y
_atom_site_fract_z
Ca1 Ca 0.000 0.000 0.000
Ca2 Ca 0.000 0.500 0.500
Tm1 Tm 0.500 0.000 0.500
Cd1 Cd 0.500 0.500 0.000
Se1 Se 0.259 0.500 0.260
Se2 Se 0.261 0.000 0.743
```



A geometry-optimized Cu3PdN structure. Source: Alexandria via LeMat-Bulk, functional GGA-PBE.

Calculated density (g/cm³): 8.85
Volume (Å³/atom): 11.672
Crystal system: cubic
ΔE_f (raw) (meV per atom): 106

The structure in CIF format:
```
data_Cu3PdN
_chemical_formula_sum 'Cu3 Pd1 N1'
_space_group_name_H-M_alt 'P m -3 m'
_space_group_IT_number 221
_space_group_name_Hall '-P 4 2 3'
_cell_length_a 3.879
_cell_length_b 3.879
_cell_length_c 3.879
_cell_angle_alpha 90.00
_cell_angle_beta 90.00
_cell_angle_gamma 90.00
loop_
_atom_site_label
_atom_site_type_symbol
_atom_site_fract_x
_atom_site_fract_y
_atom_site_fract_z
Cu1 Cu 0.000 0.000 0.500
Pd1 Pd 0.500 0.500 0.500
N1 N 0.000 0.000 0.000
```



A geometry-optimized TeAsW2 structure. Source: Alexandria via LeMat-Bulk, functional GGA-PBE.

Relative energy among the computed polymorphs (eV/atom): 0.000
Calculated density (g/cm³): 9.98
Volume (Å³/atom): 23.708
Crystal system: orthorhombic
ΔE_f (raw) (meV per atom): 183

The structure in CIF format:
```
data_TeAsW2
_chemical_formula_sum 'Te1 As1 W2'
_space_group_name_H-M_alt 'P m m 2'
_space_group_IT_number 25
_space_group_name_Hall 'P 2 -2'
_cell_length_a 3.518
_cell_length_b 4.068
_cell_length_c 6.628
_cell_angle_alpha 90.00
_cell_angle_beta 90.00
_cell_angle_gamma 90.00
loop_
_atom_site_label
_atom_site_type_symbol
_atom_site_fract_x
_atom_site_fract_y
_atom_site_fract_z
Te1 Te 0.000 0.000 0.000
As1 As 0.500 0.500 0.415
W1 W 0.000 0.500 0.702
W2 W 0.500 0.000 0.680
```



- What is the volume in the second record?
  41.712 Å³/atom



- Which value of volume does entry 5 give?
  12.653 Å³/atom



- Which of these has the highest volume?
  RbBi3Rh



Repeat the third record exactly.
A geometry-optimized LaBeIr2 structure. Source: Alexandria via LeMat-Bulk, functional GGA-PBE.

Calculated density (g/cm³): 13.53
Volume (Å³/atom): 16.337
Crystal system: trigonal
E_form (eV per atom): 0.022

The structure in CIF format:
```
data_LaBeIr2
_chemical_formula_sum 'La3 Be3 Ir6'
_space_group_name_H-M_alt 'R -3 m'
_space_group_IT_number 166
_space_group_name_Hall '-R 3 2"'
_cell_length_a 3.0561
_cell_length_b 3.0561
_cell_length_c 24.2370
_cell_angle_alpha 90.00
_cell_angle_beta 90.00
_cell_angle_gamma 120.00
loop_
_atom_site_label
_atom_site_type_symbol
_atom_site_fract_x
_atom_site_fract_y
_atom_site_fract_z
La1 La 0.0000 0.0000 0.0000
Be1 Be 0.0000 0.0000 0.5000
Ir1 Ir 0.0000 0.0000 0.2279
```